Entry 1:
Density functional theory data (GGA-PBE) for Cs2SnCl5 after structural relaxation.

The structure belongs to space group I4mm (No. 107); the cell edges are 7.960, 7.960 and 9.825 Å and the angles 90.00°, 90.00° and 90.00°. The asymmetric unit holds Cs at (0.000, 0.500, 0.000), Sn at (0.000, 0.000, 0.234), Cl at (0.000, 0.000, 0.987) and Cl at (0.231, 0.231, 0.255).

The calculation puts the formation energy without anion corrections at -1.47 eV per atom. The volume is 38.903 A^3/atom.

Entry 2:
Density functional theory data (GGA-PBE) for Cs2Sn2Cl5 after structural relaxation.

The structure belongs to space group C2/m (No. 12); the cell edges are 18.746, 4.818 and 8.796 Å and the angles 90.00°, 114.61° and 90.00°. The asymmetric unit holds Cs at (0.095, 0.000, 0.381), Sn at (0.169, 0.500, 0.970), Cl at (0.000, 0.500, 0.500), Cl at (0.096, 0.000, 0.951) and Cl at (0.214, 0.500, 0.285).

For the relative energy among the computed polymorphs, the calculation gives 0.0430 eV per atom. The calculation puts the formation energy without anion corrections at -1.28 eV per atom. The volume is 40.129 A^3/atom.

Entry 3:
Density functional theory data (GGA-PBE) for CsSn2Cl6 after structural relaxation.

The structure belongs to space group P-31m (No. 162); the cell edges are 7.4091, 7.4091 and 7.3404 Å and the angles 90.00°, 90.00° and 120.00°. The asymmetric unit holds Cs at (0.0000, 0.0000, 0.0000), Sn at (0.3333, 0.6667, 0.5000) and Cl at (0.0000, 0.3798, 0.7049).

The calculation puts the formation energy without anion corrections at -1.17 eV per atom. The volume is 38.774 A^3/atom.

Entry 4:
Density functional theory data (GGA-PBE) for Cs12Sn3Cl5 after structural relaxation.

The structure belongs to space group Ia-3d (No. 230); the cell edges are 21.563, 21.563 and 21.563 Å and the angles 90.00°, 90.00° and 90.00°. The asymmetric unit holds Cs at (0.022, 0.061, 0.652), Sn at (0.000, 0.250, 0.125), Cl at (0.000, 0.000, 0.000) and Cl at (0.000, 0.250, 0.375).

The calculation puts the formation energy without anion corrections at -0.93 eV per atom. The volume is 62.666 A^3/atom.

Entry 5:
Density functional theory data (GGA-PBE) for CsSn5Cl11 after structural relaxation.

The structure belongs to space group C2/m (No. 12); the cell edges are 12.157, 13.064 and 7.579 Å and the angles 90.00°, 111.73° and 90.00°. The asymmetric unit holds Cs at (0.000, 0.000, 0.000), Sn at (0.000, 0.500, 0.000), Sn at (0.196, 0.176, 0.701), Cl at (0.000, 0.000, 0.500), Cl at (0.118, 0.224, 0.302), Cl at (0.167, 0.366, 0.921) and Cl at (0.189, 0.500, 0.367).

The calculation puts the formation energy without anion corrections at -1.10 eV per atom. The volume is 32.885 A^3/atom.

Entry 6:
Density functional theory data (GGA-PBE) for CsSn3Cl7 after structural relaxation.

The structure belongs to space group C2/m (No. 12); the cell edges are 9.417, 10.451 and 7.352 Å and the angles 90.00°, 107.94° and 90.00°. The asymmetric unit holds Cs at (0.000, 0.000, 0.000), Sn at (0.000, 0.272, 0.500), Sn at (0.000, 0.500, 0.000), Cl at (0.000, 0.000, 0.500), Cl at (0.142, 0.500, 0.711) and Cl at (0.172, 0.298, 0.235).

The calculation puts the formation energy without anion corrections at -1.16 eV per atom. The volume is 31.289 A^3/atom.